Below is crystalline HgSbCl2 at its relaxed geometry, with properties calculated at the PBEsol level.

- Formation energy from raw total energies: -0.064 eV/atom
- N(E_F): 0.767 states/eV per atom
- Total magnetization: 0.00 μB per formula unit
- Energy relative to the lowest polymorph listed for this composition: 0.024 eV per atom

Structure (CIF):
```
data_HgSbCl2
_symmetry_space_group_name_H-M 'I -4 m 2'
_symmetry_Int_Tables_number 119
_symmetry_space_group_name_Hall 'I -4 -2'
_cell_length_a 4.356
_cell_length_b 4.356
_cell_length_c 9.442
_cell_angle_alpha 90.00
_cell_angle_beta 90.00
_cell_angle_gamma 90.00
loop_
_atom_site_label
_atom_site_fract_x
_atom_site_fract_y
_atom_site_fract_z
_atom_site_occupancy
Hg1 0.000 0.000 0.000 1
Sb1 0.000 0.500 0.250 1
Cl1 0.000 0.000 0.500 1
Cl2 0.000 0.500 0.750 1
```